# 1
A plane-wave DFT calculation with PBE was carried out for a relaxed NiMo2HRu crystal.

Lattice parameters (Å, degrees): 3.9096 3.9096 3.8637 90.00 90.00 90.00
With the nearest neighbours (Å) after each atom.
Positions (direct):
Ru1 0.0000 0.0000 0.5000  2 H 1.93
Mo1 0.0000 0.5000 0.0000  2 H 1.95
Mo2 0.5000 0.0000 0.0000  2 H 1.95
H1 0.0000 0.0000 0.0000  2 Ru 1.93, 4 Mo 1.95
Ni1 0.5000 0.5000 0.5000  8 Mo 2.75, 4 Ru 2.76

D(E_F) = 0.736 states/eV per atom
Distance to the lowest polymorph of the same formula = 0.031 eV per atom
V = 11.811 Å³ per atom
Uncorrected energy = -39.813 eV per formula unit

***

# 2
A plane-wave DFT calculation with PBE was carried out for a relaxed PdRh6O12 crystal.

Lattice parameters (Å, degrees): 6.0319 6.0319 6.0319 100.31 100.31 100.31
With the nearest neighbours (Å) after each atom.
Positions (direct):
Pd1 0.0000 0.0000 0.0000  6 O 2.04
Rh1 0.7082 0.8586 0.4237  4 O 1.95-2.18
Rh2 0.5763 0.2918 0.1414  4 O 1.95-2.18
Rh3 0.1414 0.5763 0.2918  4 O 1.95-2.18
Rh4 0.2918 0.1414 0.5763  4 O 1.95-2.18
Rh5 0.4237 0.7082 0.8586  4 O 1.95-2.18
Rh6 0.8586 0.4237 0.7082  4 O 1.95-2.18
O1 0.8230 0.5638 0.4156  4 Rh 2.02-2.22
O2 0.4156 0.8230 0.5638  4 Rh 2.02-2.22
O3 0.5638 0.4156 0.8230  4 Rh 2.02-2.22
O4 0.1770 0.4362 0.5844  4 Rh 2.02-2.22
O5 0.5844 0.1770 0.4362  4 Rh 2.02-2.22
O6 0.4362 0.5844 0.1770  4 Rh 2.02-2.22
O7 0.0567 0.9345 0.3230  1 Rh 1.95, 1 Pd 2.04
O8 0.0655 0.6770 0.9433  1 Rh 1.95, 1 Pd 2.04
O9 0.6770 0.9433 0.0655  1 Rh 1.95, 1 Pd 2.04
O10 0.9433 0.0655 0.6770  1 Rh 1.95, 1 Pd 2.04
O11 0.9345 0.3230 0.0567  1 Rh 1.95, 1 Pd 2.04
O12 0.3230 0.0567 0.9345  1 Rh 1.95, 1 Pd 2.04

D(E_F) = 0.741 states/eV per atom
V = 10.912 Å³ per atom
Formation energy without anion corrections = -0.463 eV per atom
Uncorrected energy = -117.601 eV per formula unit

***

- Number 2 is which compound?
  PdRh6O12

***

- What is the V in the first record?
  11.811 Å³ per atom